Entry 1:
Computed, not measured: a relaxed Ti3Al crystal at the PBEsol level of DFT.

## Properties
- E_form (eV/atom) = -0.27
- total moment (μB/f.u.) = 0.0

CIF file:
```
data_Ti3Al
_chemical_formula_sum 'Ti6 Al2'
_space_group_name_H-M_alt 'P 63/m m c'
_space_group_IT_number 194
_space_group_name_Hall '-P 6c 2c'
_cell_length_a 5.6773
_cell_length_b 5.6773
_cell_length_c 4.6034
_cell_angle_alpha 90.00
_cell_angle_beta 90.00
_cell_angle_gamma 120.00
loop_
_atom_site_label
_atom_site_fract_x
_atom_site_fract_y
_atom_site_fract_z
Ti1 0.1696 0.3392 0.2500
Al1 0.3333 0.6667 0.7500
```

---

Entry 2:
Computed, not measured: a relaxed InGaSe3 crystal at the PBEsol level of DFT.

## Properties
- raw formation energy (eV/f.u.) = 0.21
- total moment (μB/f.u.) = 0.0

CIF file:
```
data_InGaSe3
_chemical_formula_sum 'In1 Ga1 Se3'
_space_group_name_H-M_alt 'P m -3 m'
_space_group_IT_number 221
_space_group_name_Hall '-P 4 2 3'
_cell_length_a 4.9562
_cell_length_b 4.9562
_cell_length_c 4.9562
_cell_angle_alpha 90.00
_cell_angle_beta 90.00
_cell_angle_gamma 90.00
loop_
_atom_site_label
_atom_site_fract_x
_atom_site_fract_y
_atom_site_fract_z
In1 0.0000 0.0000 0.0000
Ga1 0.5000 0.5000 0.5000
Se1 0.0000 0.5000 0.5000
```

---

> What is the total moment in the first record?

0.0 μB/f.u.